(1)
8
Lattice="-5.116 5.116 1.808 5.116 -5.116 1.808 5.116 5.116 -1.808" Properties=species:S:1:pos:R:3 comment="PBE-GGA ScAu, relaxed" dft_energy_ev_per_fu=-10.4 pbc="T T T"
Sc 3.629 1.409 0.000
Sc 3.707 -1.487 1.808
Sc 1.409 6.603 0.000
Sc 1.487 3.707 1.808
Au 8.410 0.771 0.000
Au 0.771 1.822 0.000
Au 4.345 3.294 1.808
Au -3.294 4.345 1.808

(2)
20
Lattice="9.283 0.000 0.000 0.000 6.415 0.000 -3.327 0.000 10.558" Properties=species:S:1:pos:R:3 comment="PBE-GGA Sm3TlI, relaxed" raw_formation_energy_ev_per_fu=-1.80 pbc="T T T"
Sm -0.536 0.657 3.019
Sm -2.200 2.550 8.298
Sm -0.053 3.983 5.634
Sm 1.611 5.639 0.355
Sm 1.111 1.322 9.107
Sm 2.775 1.885 3.828
Sm 3.181 4.530 6.731
Sm 4.844 5.092 1.452
Sm 4.344 0.776 10.203
Sm 6.008 2.432 4.924
Sm 8.155 3.864 2.260
Sm 6.491 5.758 7.540
Tl 0.470 4.504 8.854
Tl 2.134 5.118 3.575
Tl 3.821 1.297 6.983
Tl 5.485 1.911 1.704
I -0.299 0.877 6.212
I 1.364 2.330 0.933
I 4.591 4.085 9.626
I 6.255 5.537 4.347

(3)
4
Lattice="1.549 0.894 8.920 -1.549 0.894 8.920 0.000 -1.789 8.920" Properties=species:S:1:pos:R:3 comment="PBE-GGA InAsW2, relaxed" de_polymorph_ev_per_atom=0.081 pbc="T T T"
In 0.000 0.000 0.000
As 0.000 0.000 20.497
W 0.000 0.000 6.558
W 0.000 0.000 13.480

(4)
3
Lattice="5.597 0.000 0.000 -2.798 4.847 0.000 0.000 0.000 3.458" Properties=species:S:1:pos:R:3 comment="PBE-GGA GdDyTm, relaxed" de_polymorph_ev_per_atom=0.042 pbc="T T T"
Gd 0.000 0.000 0.000
Dy 0.000 3.231 1.729
Tm 2.798 1.616 0.000

(5)
4
Lattice="3.818 0.000 0.000 0.000 3.818 0.000 0.000 0.000 4.025" Properties=species:S:1:pos:R:3 comment="PBE-GGA TaCoRe2, relaxed" de_polymorph_ev_per_atom=0.000 pbc="T T T"
Ta 0.000 0.000 0.000
Co 1.909 1.909 0.000
Re 0.000 1.909 2.012
Re 1.909 0.000 2.012

(6)
4
Lattice="1.859 1.073 7.670 -1.859 1.073 7.670 0.000 -2.146 7.670" Properties=species:S:1:pos:R:3 comment="PBE-GGA Hg2PtCl, relaxed" raw_formation_energy_ev_per_fu=-0.04 de_polymorph_ev_per_atom=0.049 pbc="T T T"
Hg 0.000 0.000 5.590
Hg 0.000 0.000 17.421
Pt 0.000 0.000 11.506
Cl 0.000 0.000 0.000

(7)
5
Lattice="4.475 0.000 0.000 0.000 4.475 0.000 0.000 0.000 4.500" Properties=species:S:1:pos:R:3 comment="PBE-GGA LaRuN2F, relaxed" raw_formation_energy_ev_per_fu=3.39 de_polymorph_ev_per_atom=1.489 pbc="T T T"
La 0.000 0.000 0.000
Ru 2.237 2.237 2.250
N 0.000 2.237 0.000
N 2.237 0.000 0.000
F 0.000 0.000 2.250

(8)
3
Lattice="3.900 0.000 0.000 -1.950 3.377 0.000 0.000 0.000 3.145" Properties=species:S:1:pos:R:3 comment="PBE-GGA ScHPt, relaxed" de_polymorph_ev_per_atom=0.249 pbc="T T T"
Sc 0.000 0.000 0.000
H 0.000 2.251 1.572
Pt 1.950 1.126 1.572

(9)
5
Lattice="5.245 0.000 0.000 0.000 5.245 0.000 0.000 0.000 5.245" Properties=species:S:1:pos:R:3 comment="PBE-GGA MnTl3In, relaxed" de_polymorph_ev_per_atom=0.000 pbc="T T T"
Mn 0.000 0.000 0.000
Tl 0.000 0.000 2.622
Tl 0.000 2.622 0.000
Tl 2.622 0.000 0.000
In 2.622 2.622 2.622

(10)
10
Lattice="10.522 0.000 0.000 0.000 10.522 0.000 0.000 0.000 4.025" Properties=species:S:1:pos:R:3 comment="PBE-GGA KRb2Sn2, relaxed" de_polymorph_ev_per_atom=0.133 pbc="T T T"
K 0.000 0.000 0.000
K 5.261 5.261 0.000
Rb 2.026 3.235 0.000
Rb 3.235 8.496 0.000
Rb 7.287 2.026 0.000
Rb 8.496 7.287 0.000
Sn 1.019 6.280 2.012
Sn 4.242 1.019 2.012
Sn 6.280 9.503 2.012
Sn 9.503 4.242 2.012

(11)
6
Lattice="5.922 -2.058 0.000 5.922 2.058 0.000 -1.570 0.000 8.295" Properties=species:S:1:pos:R:3 comment="PBE-GGA Sb2Te, relaxed" raw_formation_energy_ev_per_fu=0.30 de_polymorph_ev_per_atom=0.167 pbc="T T T"
Sb 0.332 0.000 1.746
Sb 3.712 0.000 4.444
Sb 6.561 0.000 3.850
Sb 9.941 0.000 6.549
Te 3.154 0.000 1.340
Te 7.119 0.000 6.955

(12)
5
Lattice="5.204 0.000 0.000 0.000 5.204 0.000 0.000 0.000 5.204" Properties=species:S:1:pos:R:3 comment="PBE-GGA HgGe3Sb, relaxed" raw_formation_energy_ev_per_fu=4.16 de_polymorph_ev_per_atom=0.000 pbc="T T T"
Hg 0.000 0.000 0.000
Ge 0.000 0.000 2.602
Ge 0.000 2.602 0.000
Ge 2.602 0.000 0.000
Sb 2.602 2.602 2.602

no.,density (g/cm3),magnetic moment (μB per formula unit)
1,8.49,0.00
2,8.27,0.00
3,12.48,0.00
4,8.65,7.95
5,17.33,0.50
6,11.42,0.00
7,5.29,3.63
8,9.66,0.00
9,9.01,2.07
10,3.33,0.00
11,6.10,0.00
12,6.37,0.00